# K2AlCd3In4 PBE-GGA relaxed
# Magnetization (μB/atom): 0.000
# Raw total energy (hartree per atom): -0.0742
data_K2AlCd3In4
_chemical_formula_sum 'K2 Al1 Cd3 In4'
_cell_length_a 4.7408
_cell_length_b 4.7408
_cell_length_c 12.8920
_cell_angle_alpha 90.00
_cell_angle_beta 90.00
_cell_angle_gamma 90.00
_space_group_name_H-M_alt 'P -4 m 2'
_space_group_IT_number 115
loop_
_space_group_symop_operation_xyz
'x,y,z'
'y,-x,-z'
'-x,-y,z'
'-y,x,-z'
'-x,y,z'
'-y,-x,-z'
'x,-y,z'
'y,x,-z'
loop_
_atom_site_label
_atom_site_type_symbol
_atom_site_fract_x
_atom_site_fract_y
_atom_site_fract_z
K1 K 0.0000 0.5000 0.2452
Al1 Al 0.5000 0.5000 0.0000
Cd1 Cd 0.0000 0.0000 0.0000
Cd2 Cd 0.0000 0.5000 0.6442
In1 In 0.0000 0.0000 0.5000
In2 In 0.0000 0.5000 0.8685
In3 In 0.5000 0.5000 0.5000